Entry a
Ho2Tm3Sc3 after structural relaxation, computed with GGA-PBE.

```
data_Ho2Tm3Sc3
_space_group_name_H-M_alt 'R 3 2'
_space_group_IT_number 155
_space_group_name_Hall 'R 3 2"'
_cell_length_a 8.3749
_cell_length_b 8.3749
_cell_length_c 11.5972
_cell_angle_alpha 90.00
_cell_angle_beta 90.00
_cell_angle_gamma 120.00
loop_
_atom_site_label
_atom_site_fract_x
_atom_site_fract_y
_atom_site_fract_z
Ho1 0.0000 0.0000 0.2480
Tm1 0.0000 0.2397 0.0000
Sc1 0.0000 0.7742 0.5000
```


Entry b
Ho2Tm3Sc3 after structural relaxation, computed with GGA-PBE.

```
data_Ho2Tm3Sc3
_space_group_name_H-M_alt 'I m m m'
_space_group_IT_number 71
_space_group_name_Hall '-I 2 2'
_cell_length_a 4.790
_cell_length_b 4.855
_cell_length_c 19.329
_cell_angle_alpha 90.00
_cell_angle_beta 90.00
_cell_angle_gamma 90.00
loop_
_atom_site_label
_atom_site_fract_x
_atom_site_fract_y
_atom_site_fract_z
Ho1 0.000 0.000 0.249
Tm1 0.000 0.000 0.000
Tm2 0.000 0.500 0.122
Sc1 0.000 0.000 0.500
Sc2 0.000 0.500 0.377
```


Among the structures above, stability is greatest for entry b.